{
  "formula": "GaGeAsSe2",
  "functional": "SCAN",
  "state": "single point on PBEsol structure",
  "raw_formation_energy_mev_per_atom": 554,
  "magnetic_moment_mub_per_cell": 0.000,
  "dft_energy_ev_per_atom": -18.602,
  "vol_a3_per_atom": 22.926,
  "crystal_system": "tetragonal",
  "lattice": [[4.890, 0.000, 0.000], [0.000, 4.890, 0.000], [0.000, 0.000, 4.793]],
  "species": ["Ga", "Ge", "As", "Se", "Se"],
  "frac_coords": [[0.000, 0.000, 0.000], [0.500, 0.500, 0.500], [0.000, 0.000, 0.500], [0.000, 0.500, 0.000], [0.500, 0.000, 0.000]]
}